LiLa2Sn3 PBE-GGA relaxed; calculated formation energy = -0.65 eV per atom; density of states at the Fermi level = 3.75 states/eV/f.u.; calculated total energy = -4.61 eV per atom
1.0
-2.7513 -0.6381 -3.8668
-3.3170 -5.5690 0.3143
-5.9934 1.5868 1.0378
La Sn Li
2 3 1
direct
0.5497 0.1842 0.7165
0.4483 0.8001 0.3032
0.8151 0.2224 0.1475
0.1546 0.8025 0.8884
0.8635 0.5874 0.6856
0.1689 0.4035 0.2587